# 1
PBE LiSmBi, optimized geometry; formation enthalpy at 0 K = -340 meV/atom; volume = 79.8 Å³ per cell; magnetic moment = 0.0 Bohr magnetons per cell
1.0
-2.6609 0.8694 2.5228
-2.0340 -2.9670 -1.1229
4.9231 -2.1642 3.1239
Li Bi Sm
1 1 1
Direct
0.3107 0.3107 0.6215
0.9225 0.9225 0.8451
0.6167 0.6167 0.2335

# 2
PBE V2SbRuPb, optimized geometry; volume = 128.5 Å³ per cell; uncorrected formation energy = 8.11 eV per formula unit; magnetic moment = 5.8 Bohr magnetons per cell
1.0
5.0693 0.0000 0.0000
0.0000 4.9995 0.0000
0.0000 0.0000 5.0693
Pb V Sb Ru
1 2 1 1
Direct
0.0000 0.0000 0.0000
0.0000 0.0000 0.5000
0.5000 0.0000 0.0000
0.5000 0.5000 0.5000
0.0000 0.5000 0.0000

# 3
PBE LaOsAu2, optimized geometry; formation enthalpy at 0 K = 138 meV/atom; volume = 85.3 Å³ per cell; magnetic moment = 0.0 Bohr magnetons per cell
1.0
-2.9837 0.4535 2.1072
-0.3586 -3.6527 0.2784
3.6340 0.0349 5.1382
Au Os La
2 1 1
Direct
0.5000 0.5000 0.2308
0.0000 0.0000 0.9658
0.5000 0.5000 0.7991
0.0000 0.0000 0.5042

# 4
PBE Re2SbTe, optimized geometry; volume = 82.0 Å³ per cell; uncorrected formation energy = 3.24 eV per formula unit; magnetic moment = 0.0 Bohr magnetons per cell
1.0
3.9504 0.0000 0.0000
0.0000 3.1230 -0.0090
0.0000 0.0193 6.6475
Sb Re Te
1 2 1
Direct
0.5000 0.2500 0.2500
0.0000 0.7502 0.0645
0.0000 0.7498 0.4355
0.5000 0.7500 0.7500